1.
! Rb2BaTaF6 PBE-GGA relaxed; values from VASP
&SYSTEM
  ibrav = 0, nat = 10, ntyp = 4
/
ATOMIC_SPECIES
Rb 85.47 Rb.upf
Ba 137.33 Ba.upf
Ta 180.95 Ta.upf
F 19.00 F.upf
CELL_PARAMETERS angstrom
0.0000 4.7558 4.7558
4.7558 0.0000 4.7558
4.7558 4.7558 0.0000
ATOMIC_POSITIONS angstrom
Rb 2.3779 2.3779 2.3779
Rb 7.1337 7.1337 7.1337
Ba 0.0000 0.0000 0.0000
Ta 4.7558 4.7558 4.7558
F 4.7558 4.7558 2.5804
F 4.7558 2.5804 4.7558
F 6.9311 4.7558 4.7558
F 2.5804 4.7558 4.7558
F 4.7558 6.9311 4.7558
F 4.7558 4.7558 6.9311
! - energy relative to the elements, uncorrected (eV per atom) = -2.629
! - D(E_F) (states/eV/atom) = 0.965

=====

2.
! MgH PBE-GGA relaxed; values from VASP
&SYSTEM
  ibrav = 0, nat = 2, ntyp = 2
/
ATOMIC_SPECIES
Mg 24.30 Mg.upf
H 1.01 H.upf
CELL_PARAMETERS angstrom
2.8727 0.0000 0.0000
0.0264 3.0867 0.0000
1.2535 0.0144 2.9847
ATOMIC_POSITIONS angstrom
Mg 0.0000 0.0000 0.0000
H 1.4495 1.5434 0.0000
! - distance to the lowest polymorph of the same formula (meV per atom) = 298
! - D(E_F) (states/eV/atom) = 0.248

=====

3.
! Pm2DyTm PBE-GGA relaxed; values from VASP
&SYSTEM
  ibrav = 0, nat = 4, ntyp = 3
/
ATOMIC_SPECIES
Pm 145.00 Pm.upf
Dy 162.50 Dy.upf
Tm 168.93 Tm.upf
CELL_PARAMETERS angstrom
5.0850 0.0000 0.0000
0.0000 5.0850 0.0000
0.0000 0.0000 5.0220
ATOMIC_POSITIONS angstrom
Pm 0.0000 2.5425 0.0000
Pm 2.5425 0.0000 0.0000
Dy 0.0000 0.0000 2.5110
Tm 2.5425 2.5425 2.5110
! - DFT formation energy (meV per atom) = 21
! - distance to the lowest polymorph of the same formula (meV per atom) = 5
! - D(E_F) (states/eV/atom) = 1.579

=====

4.
! BaVAs2Br PBE-GGA relaxed; values from VASP
&SYSTEM
  ibrav = 0, nat = 5, ntyp = 4
/
ATOMIC_SPECIES
Ba 137.33 Ba.upf
V 50.94 V.upf
As 74.92 As.upf
Br 79.90 Br.upf
CELL_PARAMETERS angstrom
4.8175 0.0000 0.0000
0.0000 4.8175 0.0000
0.0000 0.0000 5.6480
ATOMIC_POSITIONS angstrom
Ba 0.0000 0.0000 0.0000
V 2.4088 2.4088 2.8240
As 0.0000 2.4088 2.8240
As 2.4088 0.0000 2.8240
Br 2.4088 2.4088 0.0000
! - energy relative to the elements, uncorrected (eV per atom) = -0.732
! - D(E_F) (states/eV/atom) = 0.624

=====

Number 1: calculated total energy -5.32 eV per atom. Number 2: calculated total energy -2.24 eV per atom. Number 3: calculated total energy -4.62 eV per atom. Number 4: calculated total energy -5.13 eV per atom.